An optimized crystal structure of BaScIr2, computed with PBE.

- M_tot (Bohr magnetons per cell) = 0.0
- crystal system = trigonal
- polymorph energy (0 for the lowest one) (eV/atom) = 0.413
- raw total energy (eV per atom) = -6.377
- formation energy (eV/atom) = 0.117

Lattice parameters (Å, degrees): 3.2684 3.2684 27.4199 90.00 90.00 120.00
With the nearest neighbours (Å) after each atom.
Space group R-3m (No. 166, hexagonal axes)
Asymmetric unit:
Ba1 0.0000 0.0000 0.0000 x3  6 Ir 3.24, 6 Ba 3.27
Sc1 0.0000 0.0000 0.5000 x3  6 Ir 2.71
Ir1 0.0000 0.0000 0.2374 x6  3 Sc 2.71